# 1
Mg2NiBr after structural relaxation, computed with PBEsol.

V in Å³ per cell: 71.6
Theoretical density in g cm⁻³: 4.34
Total magnetization in μB/atom: 0.000
Excess energy over the best structure of this formula in the dataset in meV/atom: 140.7
Crystal system: tetragonal
ΔE_f (raw) in eV/atom: -0.0976
Symmetry: P4/mmm (123)

Cell and atoms, written as POSCAR:
```
Mg2NiBr
1.0
4.776 0.000 0.000
0.000 4.776 0.000
0.000 0.000 3.139
Mg Ni Br
2 1 1
Direct
0.000 0.500 0.000
0.500 0.000 0.000
0.000 0.000 0.500
0.500 0.500 0.500
```

# 2
Mg2NiBr after structural relaxation, computed with PBEsol.

V in Å³ per cell: 75.2
Theoretical density in g cm⁻³: 4.13
Total magnetization in μB/atom: 0.000
Excess energy over the best structure of this formula in the dataset in meV/atom: 0.0
Crystal system: trigonal
ΔE_f (raw) in eV/atom: -0.2383
Symmetry: R-3m (166)

Cell and atoms, written as POSCAR:
```
Mg2NiBr
1.0
1.675 0.967 7.737
-1.675 0.967 7.737
0.000 -1.934 7.737
Mg Ni Br
2 1 1
Direct
0.240 0.240 0.240
0.760 0.760 0.760
0.500 0.500 0.500
0.000 0.000 0.000
```

# 3
MgNiRu2Br after structural relaxation, computed with PBEsol.

V in Å³ per cell: 95.0
Theoretical density in g cm⁻³: 6.38
Total magnetization in μB/atom: 0.815
Crystal system: tetragonal
ΔE_f (raw) in eV/atom: 1.2197
Symmetry: P4/mmm (123)

Cell and atoms, written as POSCAR:
```
MgNiRu2Br
1.0
4.547 0.000 0.000
0.000 4.547 0.000
0.000 0.000 4.596
Mg Ni Ru Br
1 1 2 1
Direct
0.000 0.000 0.000
0.500 0.500 0.500
0.000 0.500 0.500
0.500 0.000 0.500
0.500 0.500 0.000
```

# 4
MgBrO3 after structural relaxation, computed with PBEsol.

V in Å³ per cell: 63.3
Theoretical density in g cm⁻³: 3.99
Total magnetization in μB/atom: 0.000
Crystal system: cubic
ΔE_f (raw) in eV/atom: -0.1839
Symmetry: Pm-3m (221)

Cell and atoms, written as POSCAR:
```
MgBrO3
1.0
3.986 0.000 0.000
0.000 3.986 0.000
0.000 0.000 3.986
Mg Br O
1 1 3
Direct
0.000 0.000 0.000
0.500 0.500 0.500
0.000 0.500 0.500
0.500 0.000 0.500
0.500 0.500 0.000
```